# AlTlVF6 GGA+U relaxed
# **N(E_F)**: 0.00 states/eV/cell
# **Electronic total energy**: -203.93 eV for the cell shown
data_AlTlVF6
_space_group_name_H-M_alt 'I m m a'
_space_group_IT_number 74
_space_group_name_Hall '-I 2b 2'
_cell_length_a 7.2083
_cell_length_b 7.3754
_cell_length_c 10.2354
_cell_angle_alpha 90.00
_cell_angle_beta 90.00
_cell_angle_gamma 90.00
loop_
_atom_site_label
_atom_site_fract_x
_atom_site_fract_y
_atom_site_fract_z
Al1 0.2500 0.2500 0.2500
Tl1 0.0000 0.2500 0.6337
V1 0.0000 0.0000 0.0000
F1 0.0000 0.2500 0.2845
F2 0.0000 0.2500 0.9001
F3 0.2204 0.0751 0.1269